[1]
Density functional theory data (PBE) for an optimized crystal structure of MgBr.

```
MgBr
1.0
-2.0930 0.5961 -7.9733
-4.3377 -7.0083 0.6147
-6.7166 4.3403 2.0876
Mg Br
6 6
Direct
0.0000 0.5000 0.7500 Mg
0.0000 0.5000 0.2500 Mg
0.7500 0.0000 0.5000 Mg
0.5000 0.2500 0.0000 Mg
0.5000 0.7500 0.0000 Mg
0.2500 0.0000 0.5000 Mg
0.5000 0.0000 0.2500 Br
0.0000 0.7500 0.5000 Br
0.7500 0.5000 0.0000 Br
0.0000 0.2500 0.5000 Br
0.5000 0.0000 0.7500 Br
0.2500 0.5000 0.0000 Br
```

Calculated values
The formation energy (no corrections) is -0.41 eV/atom. Its symmetry is Pm-3n.

---

[2]
Density functional theory data (PBE) for an optimized crystal structure of NaAu2Cl4.

```
NaAu2Cl4
1.0
7.5770 -1.7983 -1.6644
-2.2827 7.7378 1.3995
-3.7091 -2.2693 8.2787
Cl Au Na
8 4 2
Direct
0.2793 0.1884 0.7381 Cl
0.8905 0.6480 0.2115 Cl
0.8258 0.0774 0.7542 Cl
0.4192 0.5682 0.2754 Cl
0.9704 0.5612 0.7620 Cl
0.3594 0.1019 0.2883 Cl
0.4239 0.6722 0.7458 Cl
0.8314 0.1826 0.2247 Cl
0.6249 0.3748 0.7501 Au
0.6254 0.8754 0.2501 Au
0.6249 0.3751 0.2499 Au
0.1249 0.3748 0.7501 Au
0.8900 0.9553 0.0527 Na
0.3600 0.7946 0.4471 Na
```

Calculated values
The formation energy (no corrections) is -0.62 eV/atom. Its symmetry is P-1.

---

[3]
Density functional theory data (PBE) for an optimized crystal structure of HoTmGa2.

```
HoTmGa2
1.0
-0.5122 2.7801 2.1311
1.3268 -1.8394 2.7184
6.4819 2.3832 -1.5512
Tm Ga Ho
1 2 1
Direct
0.5000 0.5000 0.5000 Tm
0.0000 0.0000 0.2535 Ga
0.0000 0.0000 0.7465 Ga
0.5000 0.5000 0.0000 Ho
```

Calculated values
Its symmetry is P4/mmm. The formation enthalpy at 0 K comes out at -577 meV/atom.

---

[4]
Density functional theory data (PBE) for an optimized crystal structure of Y2MnGa.

```
Y2MnGa
1.0
-0.5178 1.2539 -3.3046
2.4856 -2.2453 -1.2414
-5.0356 -4.9685 -1.0962
Y Ga Mn
2 1 1
Direct
0.0000 0.0000 0.7451 Y
0.0000 0.0000 0.2549 Y
0.5000 0.5000 0.0000 Ga
0.5000 0.5000 0.5000 Mn
```

Calculated values
Its symmetry is P4/mmm. The formation enthalpy at 0 K comes out at -201 meV/atom.

---

Number 1: total energy -2.045 eV per atom, V 565 Å³ per cell. Number 2: total energy -2.803 eV per atom, V 428 Å³ per cell. Number 3: total energy -4.353 eV per atom, V 89 Å³ per cell. Number 4: total energy -6.482 eV per atom, V 91 Å³ per cell.